{"formula": "SrSc4W", "functional": "PBE-GGA", "state": "relaxed", "cell": [[0.000, 4.223, 4.223], [4.223, 0.000, 4.223], [4.223, 4.223, 0.000]], "species": ["Sr", "Sc", "Sc", "Sc", "Sc", "W"], "fractional_positions": [[0.000, 0.000, 0.000], [0.380, 0.380, 0.380], [0.380, 0.380, 0.860], [0.380, 0.860, 0.380], [0.860, 0.380, 0.380], [0.750, 0.750, 0.750]], "m_tot_mub_per_cell": 1.75, "energy_ev_per_cell": -35.13, "space_group": "F-43m (216)", "n_ef_per_ev_cell": 9.79}

***

{"formula": "SrScW2", "functional": "PBE-GGA", "state": "relaxed", "cell": [[0.000, 3.477, 3.477], [3.477, 0.000, 3.477], [3.477, 3.477, 0.000]], "species": ["Sr", "Sc", "W", "W"], "fractional_positions": [[0.000, 0.000, 0.000], [0.500, 0.500, 0.500], [0.250, 0.250, 0.250], [0.750, 0.750, 0.750]], "m_tot_mub_per_cell": 0.00, "energy_ev_per_cell": -28.11, "e_above_lowest_polymorph_ev_per_atom": 0.995, "space_group": "Fm-3m (225)", "n_ef_per_ev_cell": 8.79}

***

{"formula": "Sr2ScW2", "functional": "PBE-GGA", "state": "relaxed", "cell": [[-2.186, 2.186, 7.172], [2.186, -2.186, 7.172], [2.186, 2.186, -7.172]], "species": ["Sr", "Sr", "Sc", "W", "W"], "fractional_positions": [[0.250, 0.750, 0.500], [0.750, 0.250, 0.500], [0.000, 0.000, 0.000], [0.422, 0.422, 0.000], [0.578, 0.578, 0.000]], "m_tot_mub_per_cell": 0.00, "energy_ev_per_cell": -28.93, "e_above_lowest_polymorph_ev_per_atom": 0.150, "space_group": "I4/mmm (139)", "n_ef_per_ev_cell": 8.83}

***

{"formula": "Sr2ScW", "functional": "PBE-GGA", "state": "relaxed", "cell": [[-1.713, 3.036, 5.980], [1.713, -3.036, 5.980], [1.713, 3.036, -5.980]], "species": ["Sr", "Sr", "Sc", "W"], "fractional_positions": [[0.000, 0.000, 0.000], [0.700, 0.200, 0.500], [0.401, 0.401, 0.000], [0.231, 0.731, 0.500]], "m_tot_mub_per_cell": 0.88, "energy_ev_per_cell": -19.27, "e_above_lowest_polymorph_ev_per_atom": 0.230, "space_group": "Imm2 (44)", "n_ef_per_ev_cell": 5.15}

***

{"formula": "Sr2ScW2", "functional": "PBE-GGA", "state": "relaxed", "cell": [[9.200, 0.000, 0.000], [0.000, 9.200, 0.000], [0.000, 0.000, 3.263]], "species": ["Sr", "Sr", "Sr", "Sr", "Sc", "Sc", "W", "W", "W", "W"], "fractional_positions": [[0.202, 0.298, 0.000], [0.298, 0.798, 0.000], [0.702, 0.202, 0.000], [0.798, 0.702, 0.000], [0.000, 0.000, 0.500], [0.500, 0.500, 0.500], [0.088, 0.588, 0.500], [0.412, 0.088, 0.500], [0.588, 0.912, 0.500], [0.912, 0.412, 0.500]], "m_tot_mub_per_cell": 0.01, "energy_ev_per_cell": -59.36, "e_above_lowest_polymorph_ev_per_atom": 0.000, "space_group": "P4/mbm (127)", "n_ef_per_ev_cell": 12.12}

***

{"formula": "Sr2ScW", "functional": "PBE-GGA", "state": "relaxed", "cell": [[4.725, -1.623, 0.000], [4.725, 1.623, 0.000], [-0.469, 0.000, 8.250]], "species": ["Sr", "Sr", "Sc", "W"], "fractional_positions": [[0.000, 0.000, 0.000], [0.231, 0.231, 0.620], [0.754, 0.754, 0.259], [0.487, 0.487, 0.360]], "m_tot_mub_per_cell": 0.00, "energy_ev_per_cell": -19.53, "e_above_lowest_polymorph_ev_per_atom": 0.164, "space_group": "Cm (8)", "n_ef_per_ev_cell": 4.18}

***

{"formula": "SrScW", "functional": "PBE-GGA", "state": "relaxed", "cell": [[0.000, 2.306, 7.933], [2.015, 0.000, 7.933], [2.015, 2.306, 0.000]], "species": ["Sr", "Sc", "W"], "fractional_positions": [[0.000, 0.000, 0.000], [0.711, 0.711, 0.289], [0.336, 0.336, 0.664]], "m_tot_mub_per_cell": 0.00, "energy_ev_per_cell": -18.67, "e_above_lowest_polymorph_ev_per_atom": 0.000, "space_group": "Fmm2 (42)", "n_ef_per_ev_cell": 4.17}

***

{"formula": "SrScW2", "functional": "PBE-GGA", "state": "relaxed", "cell": [[2.878, 0.000, 0.000], [0.000, 4.777, 0.000], [-0.580, 0.000, 6.737]], "species": ["Sr", "Sc", "W", "W"], "fractional_positions": [[0.000, 0.000, 0.000], [0.000, 0.000, 0.500], [0.369, 0.500, 0.325], [0.631, 0.500, 0.675]], "m_tot_mub_per_cell": 0.00, "energy_ev_per_cell": -30.82, "e_above_lowest_polymorph_ev_per_atom": 0.317, "space_group": "P2/m (10)", "n_ef_per_ev_cell": 4.01}

***

{"formula": "SrScW2", "functional": "PBE-GGA", "state": "relaxed", "cell": [[3.714, 0.000, 0.000], [0.000, 3.714, 0.000], [0.000, 0.000, 6.918]], "species": ["Sr", "Sc", "W", "W"], "fractional_positions": [[0.000, 0.000, 0.000], [0.000, 0.000, 0.500], [0.500, 0.500, 0.330], [0.500, 0.500, 0.670]], "m_tot_mub_per_cell": 0.00, "energy_ev_per_cell": -30.50, "e_above_lowest_polymorph_ev_per_atom": 0.398, "space_group": "P4/mmm (123)", "n_ef_per_ev_cell": 5.78}

***

{"formula": "SrScW2", "functional": "PBE-GGA", "state": "relaxed", "cell": [[1.501, 0.867, 10.514], [-1.501, 0.867, 10.514], [0.000, -1.734, 10.514]], "species": ["Sr", "Sc", "W", "W"], "fractional_positions": [[0.000, 0.000, 0.000], [0.500, 0.500, 0.500], [0.243, 0.243, 0.243], [0.757, 0.757, 0.757]], "m_tot_mub_per_cell": 0.00, "energy_ev_per_cell": -29.98, "e_above_lowest_polymorph_ev_per_atom": 0.526, "space_group": "R-3m (166)", "n_ef_per_ev_cell": 4.64}

***

{"formula": "Sr2ScW", "functional": "PBE-GGA", "state": "relaxed", "cell": [[4.626, 0.000, 0.000], [0.000, 4.626, 0.000], [0.000, 0.000, 5.204]], "species": ["Sr", "Sr", "Sc", "W"], "fractional_positions": [[0.000, 0.500, 0.000], [0.500, 0.000, 0.000], [0.000, 0.000, 0.500], [0.500, 0.500, 0.500]], "m_tot_mub_per_cell": 0.01, "energy_ev_per_cell": -18.38, "e_above_lowest_polymorph_ev_per_atom": 0.452, "space_group": "P4/mmm (123)", "n_ef_per_ev_cell": 4.81}

***

{"formula": "SrScW2", "functional": "PBE-GGA", "state": "relaxed", "cell": [[4.954, -1.407, 0.000], [4.954, 1.407, 0.000], [-0.287, 0.000, 6.499]], "species": ["Sr", "Sc", "W", "W"], "fractional_positions": [[0.000, 0.000, 0.000], [0.500, 0.500, 0.500], [0.242, 0.242, 0.680], [0.758, 0.758, 0.320]], "m_tot_mub_per_cell": 0.00, "energy_ev_per_cell": -30.20, "e_above_lowest_polymorph_ev_per_atom": 0.472, "space_group": "C2/m (12)", "n_ef_per_ev_cell": 4.35}

***

{"formula": "SrScW2", "functional": "PBE-GGA", "state": "relaxed", "cell": [[1.705, -2.479, 0.000], [1.705, 2.479, 0.000], [0.000, 0.000, 10.331]], "species": ["Sr", "Sc", "W", "W"], "fractional_positions": [[0.000, 0.000, 0.000], [0.500, 0.500, 0.323], [0.000, 0.000, 0.544], [0.500, 0.500, 0.733]], "m_tot_mub_per_cell": 0.00, "energy_ev_per_cell": -31.23, "e_above_lowest_polymorph_ev_per_atom": 0.215, "space_group": "Cmm2 (35)", "n_ef_per_ev_cell": 4.73}

***

{"formula": "SrScW2", "functional": "PBE-GGA", "state": "relaxed", "cell": [[5.478, 0.000, 0.000], [0.000, 5.478, 0.000], [0.000, 0.000, 2.830]], "species": ["Sr", "Sc", "W", "W"], "fractional_positions": [[0.000, 0.000, 0.000], [0.500, 0.500, 0.000], [0.000, 0.500, 0.500], [0.500, 0.000, 0.500]], "m_tot_mub_per_cell": 0.00, "energy_ev_per_cell": -28.60, "e_above_lowest_polymorph_ev_per_atom": 0.873, "space_group": "P4/mmm (123)", "n_ef_per_ev_cell": 6.80}

***

{"formula": "Sr2ScW", "functional": "PBE-GGA", "state": "relaxed", "cell": [[3.208, -5.375, 0.000], [3.208, 5.375, 0.000], [-0.015, 0.000, 3.210]], "species": ["Sr", "Sr", "Sc", "W"], "fractional_positions": [[0.000, 0.500, 0.000], [0.500, 0.000, 0.000], [0.000, 0.000, 0.500], [0.500, 0.500, 0.500]], "m_tot_mub_per_cell": 0.19, "energy_ev_per_cell": -18.26, "e_above_lowest_polymorph_ev_per_atom": 0.482, "space_group": "C2/m (12)", "n_ef_per_ev_cell": 6.71}

***

{"formula": "Sr2ScW", "functional": "PBE-GGA", "state": "relaxed", "cell": [[5.877, -1.619, 0.000], [5.877, 1.619, 0.000], [-0.993, 0.000, 5.789]], "species": ["Sr", "Sr", "Sc", "W"], "fractional_positions": [[0.232, 0.232, 0.233], [0.768, 0.768, 0.767], [0.000, 0.000, 0.500], [0.500, 0.500, 0.000]], "m_tot_mub_per_cell": 0.00, "energy_ev_per_cell": -18.35, "e_above_lowest_polymorph_ev_per_atom": 0.458, "space_group": "C2/m (12)", "n_ef_per_ev_cell": 4.77}

***

{"formula": "Sr2ScW", "functional": "PBE-GGA", "state": "relaxed", "cell": [[-2.335, 2.335, 5.143], [2.335, -2.335, 5.143], [2.335, 2.335, -5.143]], "species": ["Sr", "Sr", "Sc", "W"], "fractional_positions": [[0.250, 0.750, 0.500], [0.750, 0.250, 0.500], [0.000, 0.000, 0.000], [0.500, 0.500, 0.000]], "m_tot_mub_per_cell": 0.32, "energy_ev_per_cell": -18.37, "e_above_lowest_polymorph_ev_per_atom": 0.453, "space_group": "I4/mmm (139)", "n_ef_per_ev_cell": 4.43}

***

{"formula": "SrSc2W2", "functional": "PBE-GGA", "state": "relaxed", "cell": [[8.651, 0.000, 0.000], [0.000, 8.651, 0.000], [0.000, 0.000, 2.982]], "species": ["Sr", "Sr", "Sc", "Sc", "Sc", "Sc", "W", "W", "W", "W"], "fractional_positions": [[0.000, 0.000, 0.000], [0.500, 0.500, 0.000], [0.187, 0.313, 0.000], [0.313, 0.813, 0.000], [0.687, 0.187, 0.000], [0.813, 0.687, 0.000], [0.103, 0.603, 0.500], [0.397, 0.103, 0.500], [0.603, 0.897, 0.500], [0.897, 0.397, 0.500]], "m_tot_mub_per_cell": 0.00, "energy_ev_per_cell": -74.92, "e_above_lowest_polymorph_ev_per_atom": 0.000, "space_group": "P4/mbm (127)", "n_ef_per_ev_cell": 11.87}

***

{"formula": "SrScW", "functional": "PBE-GGA", "state": "relaxed", "cell": [[-1.526, 1.526, 7.934], [1.526, -1.526, 7.934], [1.526, 1.526, -7.934]], "species": ["Sr", "Sc", "W"], "fractional_positions": [[0.000, 0.000, 0.000], [0.290, 0.290, 0.000], [0.664, 0.664, 0.000]], "m_tot_mub_per_cell": 0.00, "energy_ev_per_cell": -18.66, "e_above_lowest_polymorph_ev_per_atom": 0.003, "space_group": "I4mm (107)", "n_ef_per_ev_cell": 3.27}

***

{"formula": "SrScW2", "functional": "PBE-GGA", "state": "relaxed", "cell": [[4.016, 0.000, 0.000], [0.000, 4.016, 0.000], [0.000, 0.000, 5.090]], "species": ["Sr", "Sc", "W", "W"], "fractional_positions": [[0.000, 0.000, 0.000], [0.500, 0.500, 0.000], [0.000, 0.500, 0.500], [0.500, 0.000, 0.500]], "m_tot_mub_per_cell": 0.00, "energy_ev_per_cell": -29.76, "e_above_lowest_polymorph_ev_per_atom": 0.581, "space_group": "P4/mmm (123)", "n_ef_per_ev_cell": 3.56}